Density functional theory data (PBE) for a relaxed Tb4HgPd2 crystal.

Results
**Magnetization**: 0.0000 μB/atom
**Energy above the lowest structure with this stoichiometry**: 0 meV/atom
**Energy of formation from the pure elements**: -0.57 eV per atom
**E**: -4.739 eV/atom

Lattice parameters (Å, degrees): 5.0096 5.0096 24.8419 90.00 90.00 120.00
Space group R-3m (No. 166, hexagonal axes)
One atom of each set of equivalent atoms:
Tb (0.0000, 0.0000, 0.1192) x6
Tb (0.0000, 0.0000, 0.3714) x6
Hg (0.0000, 0.0000, 0.5000) x3
Pd (0.0000, 0.0000, 0.2533) x6